The following is a DFT calculation (PBE) of a relaxed structure of MnTe2WI.

```
5
Lattice="5.266 0.000 0.000 0.000 5.266 0.000 0.000 0.000 5.800" Properties=species:S:1:pos:R:3 pbc="T T T"
Mn 0.000 0.000 0.000
Te 0.000 2.633 2.900
Te 2.633 0.000 2.900
W 2.633 2.633 2.900
I 2.633 2.633 0.000
```

Summary:
DOS at the Fermi energy: 6.2 states/eV/f.u.
Energy relative to the lowest polymorph listed for this composition: 0 meV per atom

The following is a DFT calculation (PBE) of a relaxed structure of LiGdIn4.

```
6
Lattice="0.000 4.276 4.276 4.276 0.000 4.276 4.276 4.276 0.000" Properties=species:S:1:pos:R:3 pbc="T T T"
Li 0.000 0.000 0.000
Gd 2.138 2.138 2.138
In 5.345 3.207 3.207
In 3.207 5.345 3.207
In 3.207 3.207 5.345
In 5.345 5.345 5.345
```

Summary:
DOS at the Fermi energy: 5.5 states/eV/f.u.
E_form: -0.179 eV per atom

The following is a DFT calculation (PBE) of a relaxed structure of USb2Os.

```
4
Lattice="2.602 1.502 3.766 -2.602 1.502 3.766 0.000 -3.005 3.766" Properties=species:S:1:pos:R:3 pbc="T T T"
U 0.000 0.000 0.000
Sb 0.000 0.000 2.955
Sb 0.000 0.000 8.344
Os 0.000 0.000 5.649
```

Summary:
DOS at the Fermi energy: 9.2 states/eV/f.u.
Final energy: -7.290 eV per atom

The following is a DFT calculation (PBE) of a relaxed structure of Er2Ge5Rh3.

```
20
Lattice="2.105 -12.298 0.000 2.105 12.298 0.000 0.000 0.000 6.818" Properties=species:S:1:pos:R:3 pbc="T T T"
Er 2.105 11.784 3.409
Er 2.105 4.313 3.392
Er 2.105 -4.313 6.801
Er 2.105 -11.784 0.000
Ge 2.105 9.841 5.877
Ge 2.105 7.218 1.995
Ge 2.105 7.173 4.895
Ge 2.105 2.889 6.658
Ge 2.105 1.166 4.536
Ge 2.105 -1.166 1.127
Ge 2.105 -2.889 3.249
Ge 2.105 -7.173 1.486
Ge 2.105 -7.218 5.405
Ge 2.105 -9.841 2.468
Rh 2.105 9.678 1.574
Rh 2.105 5.432 0.039
Rh 2.105 1.326 1.920
Rh 2.105 -1.326 5.329
Rh 2.105 -5.432 3.448
Rh 2.105 -9.678 4.984
```

Summary:
DOS at the Fermi energy: 4.1 states/eV/f.u.
E_form: -0.754 eV per atom
Energy relative to the lowest polymorph listed for this composition: 14 meV per atom

The following is a DFT calculation (PBE) of a relaxed structure of VTcCl.

```
6
Lattice="3.032 0.000 0.000 -1.450 4.843 0.000 -0.734 -1.278 8.818" Properties=species:S:1:pos:R:3 pbc="T T T"
V 0.000 0.000 0.000
V -0.659 0.266 6.300
Tc -0.670 2.976 7.174
Tc 0.850 0.838 8.085
Cl 0.854 0.912 4.571
Cl 1.577 3.265 1.614
```

Summary:
DOS at the Fermi energy: 0.8 states/eV/f.u.
Energy relative to the lowest polymorph listed for this composition: 145 meV per atom

The following is a DFT calculation (PBE) of a relaxed structure of NiPRh2.

```
4
Lattice="-1.404 2.079 4.431 1.404 -2.079 4.431 1.404 2.079 -4.431" Properties=species:S:1:pos:R:3 pbc="T T T"
Ni 0.000 0.000 0.000
P 0.000 2.079 2.689
Rh 1.404 0.000 2.704
Rh 0.000 0.000 5.252
```

Summary:
DOS at the Fermi energy: 5.3 states/eV/f.u.
E_form: -0.295 eV per atom
Energy relative to the lowest polymorph listed for this composition: 0 meV per atom